Entry 1:
The following is a PBE calculation of a relaxed structure of BaSbPb, from Alexandria.

Cell lengths 7.971, 7.971, 7.971 Å; angles 90.00, 90.00, 90.00 degrees
Space group F-43m (No. 216)
One atom of each set of equivalent atoms:
Ba (0.000, 0.000, 0.000)
Sb (0.250, 0.250, 0.250)
Pb (0.250, 0.250, 0.750)

Calculated values
DOS(E_F) in states/eV/cell: 14.514
V in Å³/cell: 506
Crystal system: cubic

---

Entry 2:
The following is a PBE calculation of a relaxed structure of Ba3SbPb, from Alexandria.

Cell lengths 12.358, 20.926, 7.632 Å; angles 90.00, 90.00, 90.00 degrees
Space group Cmce (No. 64)
One atom of each set of equivalent atoms:
Ba (0.000, 0.101, 0.204)
Ba (0.209, 0.000, 0.500)
Ba (0.250, 0.178, 0.750)
Sb (0.000, 0.073, 0.742)
Pb (0.250, 0.154, 0.250)

Calculated values
DOS(E_F) in states/eV/cell: 36.658
V in Å³/cell: 1974
Crystal system: orthorhombic

---

Entry 3:
The following is a PBE calculation of a relaxed structure of BaSbPb, from Alexandria.

Cell lengths 4.696, 16.289, 5.647 Å; angles 90.00, 90.00, 90.00 degrees
Space group Amm2 (No. 38)
One atom of each set of equivalent atoms:
Ba (0.000, 0.164, 0.000)
Sb (0.500, 0.151, 0.499)
Pb (0.000, 0.000, 0.545)
Pb (0.500, 0.000, 0.142)

Calculated values
DOS(E_F) in states/eV/cell: 3.027
V in Å³/cell: 432
Crystal system: orthorhombic

---

Entry 4:
The following is a PBE calculation of a relaxed structure of BaSbPb, from Alexandria.

Cell lengths 7.170, 17.472, 7.165 Å; angles 90.00, 90.00, 90.00 degrees
Space group Fmm2 (No. 42)
One atom of each set of equivalent atoms:
Ba (0.000, 0.162, 0.000)
Sb (0.000, 0.133, 0.500)
Pb (0.240, 0.000, 0.735)

Calculated values
DOS(E_F) in states/eV/cell: 7.982
V in Å³/cell: 898
Crystal system: orthorhombic

---

Total energy values, unit eV/atom, following the record order: -3.3672; -3.3284; -3.8556; -3.9066.